Computed, not measured: a crystal of TlTc2As relaxed with PBEsol at the SCAN level of DFT.

```
data_TlTc2As
_space_group_name_H-M_alt 'P 1'
_space_group_IT_number 1
_cell_length_a 3.0663
_cell_length_b 3.0663
_cell_length_c 6.7686
_cell_angle_alpha 90.00
_cell_angle_beta 90.00
_cell_angle_gamma 90.00
loop_
_space_group_symop_operation_xyz
'x,y,z'
loop_
_atom_site_label
_atom_site_type_symbol
_atom_site_fract_x
_atom_site_fract_y
_atom_site_fract_z
Tl1 Tl 0.0000 0.0000 0.0000
Tc1 Tc 0.5000 0.5000 0.2959
Tc2 Tc 0.5000 0.5000 0.7041
As1 As 0.0000 0.0000 0.5000
```

Output
Volume (Å³ per atom): 15.91
Distance to the lowest polymorph of the same formula (eV/f.u.): 0.03
Energy of formation (eV per atom): 0.33
Raw total energy (eV/atom): -40.33